Entry A
A plane-wave DFT calculation with GGA-PBE was carried out for a geometry-optimized LaH3I structure.

abc: 4.3055 4.3055 4.3055
angles: 90.00 90.00 90.00
Atoms (fractional coordinates):
La1 0.0000 0.0000 0.0000
H1 0.0000 0.5000 0.5000
H2 0.5000 0.0000 0.5000
H3 0.5000 0.5000 0.0000
I1 0.5000 0.5000 0.5000

Magnetic moment   0.000 Bohr magnetons per cell


Entry B
A plane-wave DFT calculation with GGA-PBE was carried out for a geometry-optimized LaH3I structure.

abc: 4.4651 4.4651 4.4651
angles: 90.00 90.00 90.00
Atoms (fractional coordinates):
La1 0.0000 0.0000 0.0000
H1 0.0000 0.0000 0.5000
H2 0.0000 0.5000 0.0000
H3 0.5000 0.0000 0.0000
I1 0.5000 0.5000 0.5000

Magnetic moment   0.923 Bohr magnetons per cell


entry B wins, 77.7 kJ/mol of atoms ahead of the next structure.


Entry A
A plane-wave DFT calculation with GGA-PBE was carried out for a geometry-optimized LaSb2HI structure.

abc: 4.5740 4.5740 6.0178
angles: 90.00 90.00 90.00
Atoms (fractional coordinates):
La1 0.0000 0.0000 0.0000
Sb1 0.0000 0.5000 0.5000
Sb2 0.5000 0.0000 0.5000
H1 0.5000 0.5000 0.5000
I1 0.5000 0.5000 0.0000

Magnetic moment   0.000 Bohr magnetons per cell


Entry B
A plane-wave DFT calculation with GGA-PBE was carried out for a geometry-optimized LaSb2HI structure.

abc: 6.3119 6.3119 6.3570
angles: 90.00 90.00 90.00
Atoms (fractional coordinates):
La1 0.0000 0.0000 0.0000
Sb1 0.0000 0.5000 0.0000
Sb2 0.5000 0.0000 0.0000
H1 0.5000 0.5000 0.5000
I1 0.0000 0.0000 0.5000

Magnetic moment   3.034 Bohr magnetons per cell


entry A wins, 81.3 kJ/mol of atoms ahead of the next structure.